# 1
VASP calculation (PBE) on a relaxed structure of Pr2Ga2Co2N.

It has space group C2/m (No. 12), with a = 11.154 Å, b = 3.960 Å, c = 7.173 Å, α = 90.00°, β = 127.92° and γ = 90.00°. Symmetry generates all atoms from Pr at (0.054, 0.000, 0.282), Ga at (0.169, 0.500, 0.720), Co at (0.189, 0.500, 0.078) and N at (0.000, 0.500, 0.000).

Its magnetic moment is 0.005 μB per atom. Its density is 7.4 g cm⁻³. The calculation puts the total energy at -84.94 eV/cell.

---

# 2
VASP calculation (PBE) on a relaxed structure of PrGaCoN.

It has space group P4/nmm (No. 129, origin choice 2), with a = 3.884 Å, b = 3.884 Å, c = 8.542 Å, α = 90.00°, β = 90.00° and γ = 90.00°. Symmetry generates all atoms from Pr at (0.250, 0.250, 0.154), Ga at (0.250, 0.750, 0.500), Co at (0.250, 0.250, 0.668) and N at (0.250, 0.250, 0.874).

Its magnetic moment is 0.000 μB per atom. Its density is 7.3 g cm⁻³. The calculation puts the total energy at -52.34 eV/cell.

---

# 3
VASP calculation (PBE) on a relaxed structure of GaCo2RuN.

It has space group P4/mmm (No. 123), with a = 3.762 Å, b = 3.762 Å, c = 4.025 Å, α = 90.00°, β = 90.00° and γ = 90.00°. Symmetry generates all atoms from Ga at (0.000, 0.000, 0.000), Co at (0.000, 0.500, 0.500), Ru at (0.500, 0.500, 0.000) and N at (0.500, 0.500, 0.500).

Its magnetic moment is 0.292 μB per atom. Its density is 8.8 g cm⁻³. The calculation puts the total energy at -35.17 eV/cell.

---

| no. | formation energy from raw total energies (meV/atom) |
| --- | --- |
| 1 | -617 |
| 2 | -734 |
| 3 | -66 |